Computed, not measured: a geometry-optimized Ca2ZnSnPb structure at the PBE level of DFT.

```
Ca2ZnSnPb
1.0
8.556 0.000 0.000
0.000 4.527 0.000
-3.921 0.000 7.846
Ca Zn Sn Pb
4 2 2 2
direct
0.161 0.250 0.453 Ca
0.225 0.750 0.105 Ca
0.775 0.250 0.895 Ca
0.839 0.750 0.547 Ca
0.256 0.750 0.746 Zn
0.744 0.250 0.254 Zn
0.117 0.250 0.804 Sn
0.883 0.750 0.196 Sn
0.490 0.250 0.370 Pb
0.510 0.750 0.630 Pb
```

Values from the calculation:
**Crystal system**: monoclinic
**Space group**: P2_1/m
**Magnetic moment**: 0.00 μB per formula unit
**Calculated formation energy**: -0.390 eV per atom

---

Computed, not measured: a geometry-optimized Ca2ZnSnPb structure at the PBE level of DFT.

```
Ca2ZnSnPb
1.0
5.937 0.000 0.000
0.000 5.937 0.000
0.000 0.000 5.873
Ca Zn Sn Pb
2 1 1 1
direct
0.000 0.500 0.000 Ca
0.500 0.000 0.000 Ca
0.000 0.000 0.500 Zn
0.500 0.500 0.000 Sn
0.500 0.500 0.500 Pb
```

Values from the calculation:
**Crystal system**: tetragonal
**Space group**: P4/mmm
**Magnetic moment**: 0.00 μB per formula unit
**Calculated formation energy**: 0.201 eV per atom

---

Number 1: density 5.15 g/cm³. Number 2: density 3.78 g/cm³.